# VNiF3

Crystalline VNiF3 at its relaxed geometry (GGA+U, Alexandria).

abc: 4.0226 4.0226 4.0226
angles: 90.00 90.00 90.00
Positions (direct):
V (0.0000, 0.0000, 0.0000)
Ni (0.5000, 0.5000, 0.5000)
F (0.0000, 0.5000, 0.5000)
F (0.5000, 0.0000, 0.5000)
F (0.5000, 0.5000, 0.0000)

symmetry = Pm-3m, No. 221
final energy = -4.4509 eV/atom